[1]
A relaxed structure of Tl2CoCuCl6. Source: the Alexandria database, functional GGA-PBE.

The structure in extended XYZ format:
```
20
Lattice="-2.921 -6.145 -0.587 2.022 -0.339 -6.513 8.228 -4.177 2.772" Properties=species:S:1:pos:R:3 pbc="T T T"
Tl 1.608 -4.285 -2.858
Cl 7.250 -3.349 -1.154
Cl 4.876 -3.949 -3.705
Co 1.011 -0.170 -3.257
Cl 3.493 -6.911 -4.007
Tl 5.273 -9.616 -5.020
Cl 6.537 -8.918 0.622
Cu -1.460 -3.072 -0.293
Cl 0.080 -7.312 -3.174
Cl 2.453 -6.711 -0.623
Cl 3.837 -3.750 -0.321
Cu 5.125 -2.258 -1.870
Cl -0.169 -1.556 -1.816
Cl 6.666 -6.497 -4.750
Cl 7.499 -9.105 -2.511
Tl 5.721 -6.375 -1.470
Tl 2.057 -1.045 0.692
Cl 0.793 -1.742 -4.950
Cl 0.664 -4.163 0.423
Co 2.654 -5.161 1.093
```

Calculated values
- Calculated density: 5.5 g/cm3
- E: -3.386 eV per atom
- Density of states at the Fermi level: 0.694 states/eV/atom

[2]
A relaxed structure of VCoCu2Cl. Source: the Alexandria database, functional GGA-PBE.

The structure in extended XYZ format:
```
5
Lattice="-1.710 -2.682 -3.256 3.756 -0.333 -1.698 0.839 -3.659 2.574" Properties=species:S:1:pos:R:3 pbc="T T T"
V 1.878 -0.166 -0.849
Co 0.000 0.000 0.000
Cu 0.420 -1.829 1.287
Cu -0.855 -1.341 -1.628
Cl 1.443 -3.337 -1.190
```

Calculated values
- Calculated density: 5.3 g/cm3
- E: -4.424 eV per atom
- Density of states at the Fermi level: 1.363 states/eV/atom

[3]
A relaxed structure of Zr2CoCuCl. Source: the Alexandria database, functional GGA-PBE.

The structure in extended XYZ format:
```
5
Lattice="4.940 0.000 0.000 0.000 4.293 0.000 0.000 0.000 4.940" Properties=species:S:1:pos:R:3 pbc="T T T"
Cl 2.470 2.147 2.470
Co 0.000 2.147 0.000
Cu 0.000 0.000 0.000
Zr 2.470 0.000 0.000
Zr 0.000 0.000 2.470
```

Calculated values
- Calculated density: 5.4 g/cm3
- E: -5.408 eV per atom
- Density of states at the Fermi level: 1.264 states/eV/atom

[4]
A relaxed structure of Dy4Co2Cl5. Source: the Alexandria database, functional GGA-PBE.

The structure in extended XYZ format:
```
11
Lattice="-0.851 3.112 1.794 -7.259 -3.098 1.933 8.807 -4.682 8.495" Properties=species:S:1:pos:R:3 pbc="T T T"
Dy -2.677 -1.348 4.865
Cl -0.385 -2.501 4.155
Cl -0.425 1.556 0.897
Dy -5.187 -2.214 1.381
Cl -3.560 -3.856 5.001
Co -3.639 -0.402 2.770
Dy 6.736 -5.566 9.047
Cl 1.083 -2.166 8.066
Dy 3.375 -3.320 7.356
Co 4.337 -4.266 9.452
Cl 4.258 -0.811 7.221
```

Calculated values
- Calculated density: 4.2 g/cm3
- E: -5.004 eV per atom
- Density of states at the Fermi level: 0.475 states/eV/atom

[5]
A relaxed structure of Dy3CoCl3. Source: the Alexandria database, functional GGA-PBE.

The structure in extended XYZ format:
```
14
Lattice="3.920 0.000 0.000 0.000 8.248 -0.240 0.000 0.219 11.416" Properties=species:S:1:pos:R:3 pbc="T T T"
Dy 2.940 1.274 4.102
Cl 0.980 7.438 10.072
Cl 2.940 1.029 1.104
Dy 0.980 2.426 6.800
Cl 2.940 5.530 1.534
Co 0.980 7.852 4.369
Cl 0.980 3.621 4.153
Cl 0.980 2.938 9.642
Dy 2.940 6.041 4.376
Cl 2.940 4.847 7.023
Dy 0.980 7.442 1.718
Dy 2.940 1.025 9.458
Dy 0.980 7.194 7.074
Co 2.940 0.615 6.807
```

Calculated values
- Calculated density: 5.9 g/cm3
- E: -5.177 eV per atom
- Density of states at the Fermi level: 0.338 states/eV/atom

[6]
A relaxed structure of Dy4CoCl5. Source: the Alexandria database, functional GGA-PBE.

The structure in extended XYZ format:
```
10
Lattice="-3.537 -0.251 1.371 2.993 -1.627 7.427 1.897 9.636 1.388" Properties=species:S:1:pos:R:3 pbc="T T T"
Cl 0.737 2.566 2.371
Dy 1.256 0.804 8.660
Dy 0.097 6.954 1.525
Dy 2.341 -1.271 5.808
Cl -0.272 -0.939 4.399
Co -1.769 -0.125 0.685
Cl -0.975 6.060 3.867
Cl 2.328 1.698 6.318
Cl 0.617 5.192 7.814
Dy -0.988 9.029 4.377
```

Calculated values
- Calculated density: 4.9 g/cm3
- Density of states at the Fermi level: 0.129 states/eV/atom
- Offset from the most stable computed form: 26.5 meV/atom

[7]
A relaxed structure of DyCoCl. Source: the Alexandria database, functional GGA-PBE.

The structure in extended XYZ format:
```
6
Lattice="-3.437 1.126 1.380 -2.109 -2.426 2.157 3.017 3.399 10.174" Properties=species:S:1:pos:R:3 pbc="T T T"
Dy 0.184 0.970 10.527
Dy -1.164 -1.128 3.450
Cl -0.130 1.468 3.909
Co -1.739 0.215 0.924
Co -3.587 -0.219 2.102
Cl -0.331 2.358 8.112
```

Calculated values
- Calculated density: 6.0 g/cm3
- E: -5.699 eV per atom
- Density of states at the Fermi level: 0.578 states/eV/atom

[8]
A relaxed structure of DyCoCl5. Source: the Alexandria database, functional GGA-PBE.

The structure in extended XYZ format:
```
14
Lattice="6.568 0.186 -2.563 -0.829 6.517 -2.562 -0.091 -0.105 10.147" Properties=species:S:1:pos:R:3 pbc="T T T"
Cl 0.944 4.346 1.093
Cl 0.405 4.716 6.166
Cl 1.416 1.859 8.237
Cl 1.114 1.508 4.421
Dy 3.284 0.093 -1.281
Cl 5.243 1.881 -1.144
Co 0.364 2.455 6.329
Cl 2.971 6.031 3.767
Cl 4.534 5.090 0.601
Cl 2.677 0.566 1.256
Cl 4.232 4.738 -3.214
Dy 3.239 0.040 3.792
Cl 4.703 2.252 3.929
Co 5.284 4.143 -1.306
```

Calculated values
- Calculated density: 3.1 g/cm3
- E: -4.491 eV per atom

[9]
A relaxed structure of DyCoCl. Source: the Alexandria database, functional GGA-PBE.

The structure in extended XYZ format:
```
6
Lattice="3.872 0.000 0.000 1.936 3.353 0.000 1.936 1.118 10.914" Properties=species:S:1:pos:R:3 pbc="T T T"
Cl 1.936 1.118 1.850
Dy 3.872 2.235 7.333
Co 5.808 3.353 5.383
Dy 3.872 2.235 3.580
Co 1.936 1.118 5.531
Cl 5.808 3.353 9.064
```

Calculated values
- Calculated density: 6.0 g/cm3
- E: -5.706 eV per atom
- Density of states at the Fermi level: 0.634 states/eV/atom

[10]
A relaxed structure of Dy4CoCl5. Source: the Alexandria database, functional GGA-PBE.

The structure in extended XYZ format:
```
10
Lattice="3.801 0.000 0.000 0.000 8.146 -0.411 -1.900 -1.587 8.953" Properties=species:S:1:pos:R:3 pbc="T T T"
Dy 0.000 1.764 -0.074
Cl 0.000 6.403 2.844
Cl 1.900 0.156 5.698
Dy 1.900 4.795 8.616
Cl 1.900 4.409 5.682
Dy 1.900 0.204 2.627
Cl 0.000 2.150 2.860
Cl 1.900 4.073 -0.206
Dy 0.000 6.355 5.915
Co 1.900 0.000 0.000
```

Calculated values
- Calculated density: 5.4 g/cm3
- Density of states at the Fermi level: 0.223 states/eV/atom
- Offset from the most stable computed form: 0.0 meV/atom

[11]
A relaxed structure of KDyCoCl6. Source: the Alexandria database, functional GGA-PBE.

The structure in extended XYZ format:
```
9
Lattice="-0.582 5.935 2.960 -4.772 1.000 4.514 4.383 -2.110 5.059" Properties=species:S:1:pos:R:3 pbc="T T T"
Co -1.378 3.567 7.512
K 3.801 3.823 8.019
Cl -1.795 1.745 9.120
Cl -1.142 5.589 6.104
Cl -3.759 4.166 7.800
Cl -0.484 4.949 9.360
Cl -1.994 2.279 5.501
Dy 0.405 1.251 5.020
Cl 0.912 2.695 7.188
```

Calculated values
- Calculated density: 2.9 g/cm3
- E: -4.293 eV per atom
- Density of states at the Fermi level: 0.107 states/eV/atom

[12]
A relaxed structure of LaDyCoCl. Source: the Alexandria database, functional GGA-PBE.

The structure in extended XYZ format:
```
4
Lattice="-1.455 -1.415 -3.315 -2.046 -0.272 3.293 -1.596 7.790 -0.348" Properties=species:S:1:pos:R:3 pbc="T T T"
Cl -2.719 1.258 -2.053
La -2.135 4.516 -1.422
Co -2.968 6.218 0.495
Dy -2.209 0.141 2.758
```

Calculated values
- Calculated density: 6.6 g/cm3
- E: -5.492 eV per atom
- Density of states at the Fermi level: 0.276 states/eV/atom

no.,spin magnetization (μB/cell)
1,0.4
2,0.0
3,0.0
4,0.8
5,0.0
6,0.0
7,0.6
8,6.0
9,0.5
10,0.0
11,3.0
12,0.0